[1]
## Mn2SnW (GGA-PBE)

Data for a relaxed Mn2SnW crystal.

Cell and atoms, written as POSCAR:
```
Mn2SnW
1.0
4.310 0.000 0.000
2.155 3.733 0.000
2.155 1.244 3.519
Mn Sn W
2 1 1
Direct
0.750 0.750 0.750
0.250 0.250 0.250
0.500 0.500 0.500
0.000 0.000 0.000
```

Results
Calculated formation energy   0.17 eV/atom
DOS(E_F)   1.6 states/eV/f.u.
Energy   -8.651 eV/atom

***

[2]
## LiTlHg (GGA-PBE)

Data for a relaxed LiTlHg crystal.

Cell and atoms, written as POSCAR:
```
LiTlHg
1.0
3.183 -0.867 0.029
0.871 3.182 -0.013
-0.078 0.092 12.599
Li Tl Hg
2 2 2
Direct
0.037 0.365 0.947
0.538 0.865 0.485
0.537 0.865 0.112
0.039 0.365 0.320
0.538 0.866 0.814
0.038 0.364 0.618
```

Results
Calculated formation energy   -0.19 eV/atom
DOS(E_F)   0.9 states/eV/f.u.
Energy   -1.715 eV/atom

***

[3]
## Ac2TlAg9 (GGA-PBE)

Data for a relaxed Ac2TlAg9 crystal.

Cell and atoms, written as POSCAR:
```
Ac2TlAg9
1.0
5.868 0.000 0.000
2.934 5.081 0.000
2.934 1.694 9.373
Ac Tl Ag
2 1 9
Direct
0.865 0.865 0.405
0.135 0.135 0.595
0.000 0.000 0.000
0.667 0.667 0.000
0.333 0.333 0.000
0.500 0.500 0.500
0.416 0.416 0.247
0.921 0.416 0.247
0.416 0.921 0.247
0.584 0.584 0.753
0.584 0.079 0.753
0.079 0.584 0.753
```

Results
Calculated formation energy   -0.07 eV/atom
DOS(E_F)   6.7 states/eV/f.u.
Energy   -3.091 eV/atom

***

[4]
## Ac6Sb3TeSe2 (GGA-PBE)

Data for a relaxed Ac6Sb3TeSe2 crystal.

Cell and atoms, written as POSCAR:
```
Ac6Sb3TeSe2
1.0
8.147 0.007 0.001
-4.065 7.060 0.001
-1.361 -2.356 7.577
Ac Sb Te Se
6 3 1 2
Direct
0.917 0.575 0.752
0.739 0.739 0.245
0.083 0.425 0.248
0.575 0.917 0.752
0.261 0.261 0.755
0.425 0.083 0.248
0.163 0.837 0.500
0.837 0.163 0.500
0.500 0.500 0.500
0.000 0.000 0.000
0.333 0.667 0.000
0.667 0.333 0.000
```

Results
Formation energy (no corrections)   -1498 meV/atom
DOS(E_F)   4.7 states/eV/f.u.
Energy   -5.426 eV/atom

***

[5]
## Zr2HgSe (GGA-PBE)

Data for a relaxed Zr2HgSe crystal.

Cell and atoms, written as POSCAR:
```
Zr2HgSe
1.0
-2.170 -1.038 2.826
0.806 -3.231 1.638
3.859 1.776 6.384
Hg Se Zr
1 1 2
Direct
0.750 0.750 0.750
0.250 0.250 0.250
0.988 0.988 0.039
0.512 0.512 0.461
```

Results
Formation energy (no corrections)   -589 meV/atom
DOS(E_F)   2.0 states/eV/f.u.
Energy   -5.810 eV/atom

***

[6]
## Tl2BiPb2 (GGA-PBE)

Data for a relaxed Tl2BiPb2 crystal.

Cell and atoms, written as POSCAR:
```
Tl2BiPb2
1.0
5.959 0.000 0.000
2.979 6.262 -0.869
2.979 -1.389 8.812
Tl Bi Pb
4 2 4
Direct
0.701 0.256 0.343
0.887 0.267 0.958
0.299 0.744 0.657
0.113 0.733 0.042
0.528 0.221 0.724
0.472 0.779 0.276
0.088 0.264 0.560
0.687 0.778 0.848
0.912 0.736 0.440
0.313 0.222 0.152
```

Results
Calculated formation energy   0.01 eV/atom
DOS(E_F)   2.6 states/eV/f.u.
Energy   -3.197 eV/atom

***

[7]
## PrNd14Tm (GGA-PBE)

Data for a relaxed PrNd14Tm crystal.

Cell and atoms, written as POSCAR:
```
PrNd14Tm
1.0
7.275 0.975 0.000
-0.977 7.274 0.000
0.000 0.000 10.381
Pr Nd Tm
1 14 1
Direct
0.875 0.125 0.000
0.375 0.625 0.500
0.875 0.125 0.500
0.875 0.625 0.000
0.875 0.625 0.500
0.375 0.125 0.000
0.375 0.125 0.500
0.623 0.873 0.751
0.623 0.873 0.249
0.127 0.377 0.751
0.127 0.377 0.249
0.127 0.873 0.752
0.127 0.873 0.248
0.623 0.377 0.751
0.623 0.377 0.249
0.375 0.625 0.000
```

Results
Calculated formation energy   0.01 eV/atom
DOS(E_F)   24.7 states/eV/f.u.
Energy   -4.737 eV/atom

***

[8]
## ZrGa2Se6 (GGA-PBE)

Data for a relaxed ZrGa2Se6 crystal.

Cell and atoms, written as POSCAR:
```
ZrGa2Se6
1.0
7.311 -0.271 -0.263
1.807 8.354 -0.363
1.807 -0.092 8.361
Zr Ga Se
2 4 12
Direct
0.250 0.109 0.891
0.750 0.891 0.109
0.189 0.597 0.769
0.311 0.231 0.403
0.811 0.403 0.231
0.689 0.769 0.597
0.423 0.640 0.520
0.077 0.480 0.360
0.577 0.360 0.480
0.923 0.520 0.640
0.808 0.934 0.396
0.692 0.604 0.066
0.192 0.066 0.604
0.308 0.396 0.934
0.106 0.829 0.942
0.394 0.058 0.171
0.894 0.171 0.058
0.606 0.942 0.829
```

Results
Formation energy (no corrections)   -648 meV/atom
Energy   -4.594 eV/atom

***

[9]
## NaLaPm4Se8 (GGA-PBE)

Data for a relaxed NaLaPm4Se8 crystal.

Cell and atoms, written as POSCAR:
```
NaLaPm4Se8
1.0
-5.392 2.223 -6.407
-0.125 -4.591 -7.347
-6.898 -5.082 -1.816
Na La Pm Se
1 1 4 8
Direct
0.374 0.374 0.878
0.004 0.004 0.989
0.626 0.626 0.122
0.005 0.486 0.505
0.486 0.005 0.505
0.005 0.005 0.505
0.243 0.779 0.735
0.779 0.243 0.735
0.243 0.243 0.735
0.240 0.240 0.280
0.755 0.227 0.263
0.227 0.755 0.263
0.755 0.755 0.263
0.758 0.758 0.725
```

Results
Formation energy (no corrections)   -1784 meV/atom
DOS(E_F)   0.0 states/eV/f.u.
Energy   -5.578 eV/atom

***

[10]
## Zn2SbW (GGA-PBE)

Data for a relaxed Zn2SbW crystal.

Cell and atoms, written as POSCAR:
```
Zn2SbW
1.0
-0.140 -4.814 0.123
0.266 -0.082 -2.904
5.214 -0.172 -0.788
Sb W Zn
1 1 2
Direct
0.500 0.250 0.250
0.500 0.750 0.750
0.000 0.937 0.972
0.000 0.563 0.528
```

Results
Formation energy (no corrections)   527 meV/atom
DOS(E_F)   1.7 states/eV/f.u.
Energy   -4.379 eV/atom